# 1
A plane-wave DFT calculation with PBE-GGA was carried out for a relaxed Re2PIrRu crystal.

abc: 4.636 4.636 4.725
angles: 90.00 90.00 90.00
Space group P4/mmm (No. 123)
Asymmetric unit:
Re 0.000 0.500 0.000 (multiplicity 2)
P 0.000 0.000 0.500 (multiplicity 1)
Ir 0.500 0.500 0.500 (multiplicity 1)
Ru 0.500 0.500 0.000 (multiplicity 1)

Properties
Mass density   11.39 g cm⁻³
E_form   2.33 eV per atom
DOS(E_F)   7.5 states/eV/cell

---

# 2
A plane-wave DFT calculation with PBE-GGA was carried out for a relaxed CsPrAg2 crystal.

abc: 4.000 4.000 8.748
angles: 90.00 90.00 90.00
Space group P4/mmm (No. 123)
Asymmetric unit:
Cs 0.000 0.000 0.000 (multiplicity 1)
Pr 0.000 0.000 0.500 (multiplicity 1)
Ag 0.500 0.500 0.329 (multiplicity 2)

Properties
Mass density   5.81 g cm⁻³
E_form   -0.06 eV per atom
DOS(E_F)   2.2 states/eV/cell

---

# 3
A plane-wave DFT calculation with PBE-GGA was carried out for a relaxed Tb3Er4Th crystal.

abc: 23.210 3.435 6.691
angles: 90.00 106.68 90.00
Space group C2/m (No. 12)
Asymmetric unit:
Tb 0.000 0.000 0.000 (multiplicity 2)
Tb 0.124 0.000 0.866 (multiplicity 4)
Er 0.125 0.000 0.386 (multiplicity 4)
Er 0.241 0.500 0.740 (multiplicity 4)
Th 0.000 0.500 0.500 (multiplicity 2)

Properties
Mass density   8.95 g cm⁻³
Distance to the lowest polymorph of the same formula   146 meV per atom
E_form   0.17 eV per atom
DOS(E_F)   27.3 states/eV/cell

---

# 4
A plane-wave DFT calculation with PBE-GGA was carried out for a relaxed YMg3 crystal.

abc: 11.035 3.346 5.723
angles: 90.00 103.28 90.00
Space group C2/m (No. 12)
Asymmetric unit:
Y 0.000 0.000 0.000 (multiplicity 2)
Mg 0.000 0.500 0.500 (multiplicity 2)
Mg 0.240 0.000 0.736 (multiplicity 4)

Properties
Mass density   2.61 g cm⁻³
E_form   -0.01 eV per atom
DOS(E_F)   4.3 states/eV/cell

---

# 5
A plane-wave DFT calculation with PBE-GGA was carried out for a relaxed KRbNa2Ge crystal.

abc: 5.931 5.931 6.504
angles: 90.00 90.00 90.00
Space group P4/mmm (No. 123)
Asymmetric unit:
K 0.000 0.000 0.000 (multiplicity 1)
Rb 0.500 0.500 0.000 (multiplicity 1)
Na 0.000 0.500 0.500 (multiplicity 2)
Ge 0.000 0.000 0.500 (multiplicity 1)

Properties
Mass density   1.76 g cm⁻³
Distance to the lowest polymorph of the same formula   0 meV per atom
E_form   0.05 eV per atom
DOS(E_F)   2.8 states/eV/cell

---

# 6
A plane-wave DFT calculation with PBE-GGA was carried out for a relaxed Tb2PrSb crystal.

abc: 4.009 4.009 7.476
angles: 90.00 90.00 90.00
Space group P4/mmm (No. 123)
Asymmetric unit:
Tb 0.000 0.000 0.215 (multiplicity 2)
Pr 0.500 0.500 0.500 (multiplicity 1)
Sb 0.500 0.500 0.000 (multiplicity 1)

Properties
Mass density   8.02 g cm⁻³
Distance to the lowest polymorph of the same formula   83 meV per atom
Uncorrected formation energy   -0.485 eV/atom
DOS(E_F)   5.4 states/eV/cell

---

# 7
A plane-wave DFT calculation with PBE-GGA was carried out for a relaxed Zr2ScTl3 crystal.

abc: 15.895 6.077 5.938
angles: 90.00 100.47 90.00
Space group C2/c (No. 15)
Asymmetric unit:
Zr 0.169 0.125 0.087 (multiplicity 8)
Sc 0.000 0.371 0.750 (multiplicity 4)
Tl 0.000 0.124 0.250 (multiplicity 4)
Tl 0.165 0.378 0.570 (multiplicity 8)

Properties
Mass density   9.90 g cm⁻³
Distance to the lowest polymorph of the same formula   48 meV per atom
E_form   -0.09 eV per atom
DOS(E_F)   18.1 states/eV/cell

---

# 8
A plane-wave DFT calculation with PBE-GGA was carried out for a relaxed CdP2Pb crystal.

abc: 5.866 7.912 4.312
angles: 90.00 115.79 90.00
Space group C2/m (No. 12)
Asymmetric unit:
Cd 0.000 0.000 0.000 (multiplicity 2)
P 0.250 0.250 0.500 (multiplicity 4)
Pb 0.000 0.500 0.000 (multiplicity 2)

Properties
Mass density   7.03 g cm⁻³
E_form   0.40 eV per atom
DOS(E_F)   3.6 states/eV/cell

---

# 9
A plane-wave DFT calculation with PBE-GGA was carried out for a relaxed Sc4CrRh crystal.

abc: 7.856 7.856 7.856
angles: 90.00 90.00 90.00
Space group F-43m (No. 216)
Asymmetric unit:
Sc 0.124 0.124 0.376 (multiplicity 16)
Cr 0.000 0.000 0.000 (multiplicity 4)
Rh 0.250 0.250 0.750 (multiplicity 4)

Properties
Mass density   4.59 g cm⁻³
E_form   0.46 eV per atom
DOS(E_F)   21.0 states/eV/cell

---

# 10
A plane-wave DFT calculation with PBE-GGA was carried out for a relaxed Mg2AlRu crystal.

abc: 4.014 4.014 8.036
angles: 90.00 90.00 90.00
Space group I-4m2 (No. 119)
Asymmetric unit:
Mg 0.000 0.000 0.000 (multiplicity 2)
Mg 0.000 0.500 0.250 (multiplicity 2)
Al 0.000 0.000 0.500 (multiplicity 2)
Ru 0.000 0.500 0.750 (multiplicity 2)

Properties
Mass density   4.53 g cm⁻³
E_form   -0.17 eV per atom
DOS(E_F)   4.9 states/eV/cell

---

# 11
A plane-wave DFT calculation with PBE-GGA was carried out for a relaxed BaBeMo crystal.

abc: 3.365 3.365 11.761
angles: 90.00 90.00 90.00
Space group I4mm (No. 107)
Asymmetric unit:
Ba 0.000 0.000 0.000 (multiplicity 2)
Be 0.000 0.000 0.737 (multiplicity 2)
Mo 0.000 0.000 0.271 (multiplicity 2)

Properties
Mass density   6.04 g cm⁻³
Distance to the lowest polymorph of the same formula   0 meV per atom
E_form   0.79 eV per atom
DOS(E_F)   6.7 states/eV/cell

---

# 12
A plane-wave DFT calculation with PBE-GGA was carried out for a relaxed FeCu2W crystal.

abc: 5.903 5.903 5.903
angles: 90.00 90.00 90.00
Space group F-43m (No. 216)
Asymmetric unit:
Fe 0.000 0.000 0.000 (multiplicity 4)
Cu 0.000 0.000 0.500 (multiplicity 4)
Cu 0.250 0.250 0.750 (multiplicity 4)
W 0.250 0.250 0.250 (multiplicity 4)

Properties
Mass density   11.84 g cm⁻³
Distance to the lowest polymorph of the same formula   126 meV per atom
E_form   0.33 eV per atom
DOS(E_F)   12.3 states/eV/cell

---

# 13
A plane-wave DFT calculation with PBE-GGA was carried out for a relaxed LiCaIr2Pt crystal.

abc: 4.766 4.766 4.020
angles: 90.00 90.00 90.00
Space group P4/mmm (No. 123)
Asymmetric unit:
Li 0.000 0.000 0.000 (multiplicity 1)
Ca 0.000 0.000 0.500 (multiplicity 1)
Ir 0.000 0.500 0.500 (multiplicity 2)
Pt 0.500 0.500 0.000 (multiplicity 1)

Properties
Mass density   11.40 g cm⁻³
E_form   1.57 eV per atom
DOS(E_F)   6.1 states/eV/cell

---

# 14
A plane-wave DFT calculation with PBE-GGA was carried out for a relaxed Cu3PdAu5 crystal.

abc: 8.522 7.451 10.356
angles: 90.00 98.43 90.00
Space group C2/m (No. 12)
Asymmetric unit:
Cu 0.000 0.000 0.000 (multiplicity 2)
Cu 0.000 0.000 0.500 (multiplicity 2)
Cu 0.227 0.500 0.034 (multiplicity 4)
Cu 0.245 0.000 0.375 (multiplicity 4)
Pd 0.039 0.000 0.762 (multiplicity 4)
Au 0.000 0.320 0.500 (multiplicity 4)
Au 0.020 0.500 0.831 (multiplicity 4)
Au 0.207 0.212 0.168 (multiplicity 8)
Au 0.221 0.500 0.373 (multiplicity 4)

Properties
Mass density   13.09 g cm⁻³
E_form   0.18 eV per atom
DOS(E_F)   7.8 states/eV/cell

---

# 15
A plane-wave DFT calculation with PBE-GGA was carried out for a relaxed AcDy2Si2Pt7 crystal.

abc: 5.909 5.775 13.995
angles: 90.00 98.81 90.00
Space group C2/m (No. 12)
Asymmetric unit:
Ac 0.000 0.000 0.000 (multiplicity 2)
Dy 0.117 0.000 0.363 (multiplicity 4)
Si 0.105 0.500 0.265 (multiplicity 4)
Pt 0.000 0.500 0.000 (multiplicity 2)
Pt 0.132 0.500 0.431 (multiplicity 4)
Pt 0.179 0.251 0.823 (multiplicity 8)

Properties
Mass density   13.89 g cm⁻³
Uncorrected formation energy   -1.003 eV/atom
DOS(E_F)   9.9 states/eV/cell

---

# 16
A plane-wave DFT calculation with PBE-GGA was carried out for a relaxed LiIn2I4 crystal.

abc: 5.212 5.212 21.175
angles: 90.00 90.00 90.00
Space group I4/mmm (No. 139)
Asymmetric unit:
Li 0.000 0.000 0.000 (multiplicity 2)
In 0.000 0.000 0.171 (multiplicity 4)
I 0.000 0.000 0.319 (multiplicity 4)
I 0.000 0.500 0.000 (multiplicity 4)

Properties
Mass density   4.30 g cm⁻³
Uncorrected formation energy   -0.445 eV/atom
DOS(E_F)   13.6 states/eV/cell

---

# 17
A plane-wave DFT calculation with PBE-GGA was carried out for a relaxed ReOsO6 crystal.

abc: 4.830 9.615 4.830
angles: 90.00 102.54 90.00
Space group C2/m (No. 12)
Asymmetric unit:
Re 0.000 0.000 0.000 (multiplicity 2)
Os 0.000 0.500 0.500 (multiplicity 2)
O 0.245 0.127 0.245 (multiplicity 8)
O 0.249 0.500 0.252 (multiplicity 4)

Properties
Mass density   7.17 g cm⁻³
Uncorrected formation energy   -1.053 eV/atom
DOS(E_F)   7.3 states/eV/cell

---

# 18
A plane-wave DFT calculation with PBE-GGA was carried out for a relaxed NdBeSn crystal.

abc: 4.264 4.264 8.379
angles: 90.00 90.00 90.00
Space group I4mm (No. 107)
Asymmetric unit:
Nd 0.000 0.000 0.000 (multiplicity 2)
Be 0.000 0.000 0.349 (multiplicity 2)
Sn 0.000 0.000 0.642 (multiplicity 2)

Properties
Mass density   5.93 g cm⁻³
E_form   0.17 eV per atom
DOS(E_F)   4.0 states/eV/cell

---

# 19
A plane-wave DFT calculation with PBE-GGA was carried out for a relaxed Np2UNi9 crystal.

abc: 4.8767 4.8767 24.3862
angles: 90.00 90.00 120.00
Space group R-3m (No. 166, hexagonal axes)
Asymmetric unit:
Np 0.0000 0.0000 0.1432 (multiplicity 6)
U 0.0000 0.0000 0.0000 (multiplicity 3)
Ni 0.0000 0.0000 0.3331 (multiplicity 6)
Ni 0.0000 0.0000 0.5000 (multiplicity 3)
Ni 0.9995 0.4998 0.0822 (multiplicity 18)

Properties
Mass density   12.30 g cm⁻³
E_form   -0.18 eV per atom
DOS(E_F)   66.1 states/eV/cell

---

# 20
A plane-wave DFT calculation with PBE-GGA was carried out for a relaxed RbAlIN2 crystal.

abc: 5.393 5.393 7.383
angles: 90.00 90.00 90.00
Space group P4/mmm (No. 123)
Asymmetric unit:
Rb 0.000 0.000 0.000 (multiplicity 1)
Al 0.500 0.500 0.500 (multiplicity 1)
I 0.000 0.000 0.500 (multiplicity 1)
N 0.000 0.500 0.000 (multiplicity 2)

Properties
Mass density   2.07 g cm⁻³
Distance to the lowest polymorph of the same formula   1144 meV per atom
Uncorrected formation energy   1.809 eV/atom
DOS(E_F)   3.0 states/eV/cell

---

# 21
A plane-wave DFT calculation with PBE-GGA was carried out for a relaxed TlHAuBr2 crystal.

abc: 5.628 5.628 3.690
angles: 90.00 90.00 90.00
Space group P4/mmm (No. 123)
Asymmetric unit:
Tl 0.000 0.000 0.000 (multiplicity 1)
H 0.500 0.500 0.000 (multiplicity 1)
Au 0.500 0.500 0.500 (multiplicity 1)
Br 0.000 0.500 0.500 (multiplicity 2)

Properties
E_tot   -13.6 eV/cell
Mass density   7.99 g cm⁻³
DOS(E_F)   0.9 states/eV/cell

---

# 22
A plane-wave DFT calculation with PBE-GGA was carried out for a relaxed YCd2Mo crystal.

abc: 10.845 3.176 5.388
angles: 90.00 112.41 90.00
Space group Cm (No. 8)
Asymmetric unit:
Y 0.000 0.000 0.000 (multiplicity 2)
Cd 0.026 0.500 0.514 (multiplicity 2)
Cd 0.272 0.500 0.381 (multiplicity 2)
Mo 0.252 0.000 0.882 (multiplicity 2)

Properties
Mass density   7.93 g cm⁻³
Distance to the lowest polymorph of the same formula   66 meV per atom
E_form   0.26 eV per atom
DOS(E_F)   5.9 states/eV/cell

---

# 23
A plane-wave DFT calculation with PBE-GGA was carried out for a relaxed SmPuZn crystal.

abc: 3.319 24.151 3.374
angles: 90.00 90.00 90.00
Space group Cmcm (No. 63)
Asymmetric unit:
Sm 0.000 0.122 0.250 (multiplicity 4)
Pu 0.000 0.236 0.750 (multiplicity 4)
Zn 0.000 0.461 0.250 (multiplicity 4)

Properties
Mass density   11.29 g cm⁻³
Distance to the lowest polymorph of the same formula   223 meV per atom
E_form   0.18 eV per atom
DOS(E_F)   17.9 states/eV/cell

---

# 24
A plane-wave DFT calculation with PBE-GGA was carried out for a relaxed HoTm2Lu crystal.

abc: 7.870 7.870 7.870
angles: 90.00 90.00 90.00
Space group Fm-3m (No. 225)
Asymmetric unit:
Ho 0.000 0.000 0.000 (multiplicity 4)
Tm 0.250 0.250 0.250 (multiplicity 8)
Lu 0.000 0.000 0.500 (multiplicity 4)

Properties
Mass density   9.23 g cm⁻³
Distance to the lowest polymorph of the same formula   113 meV per atom
E_form   0.14 eV per atom
DOS(E_F)   40.1 states/eV/cell

---

# 25
A plane-wave DFT calculation with PBE-GGA was carried out for a relaxed Zn5Te crystal.

abc: 3.923 3.918 14.880
angles: 90.00 90.00 90.00
Space group Amm2 (No. 38)
Asymmetric unit:
Zn 0.000 0.000 0.000 (multiplicity 2)
Zn 0.000 0.000 0.259 (multiplicity 2)
Zn 0.000 0.000 0.628 (multiplicity 2)
Zn 0.500 0.000 0.121 (multiplicity 2)
Zn 0.500 0.000 0.753 (multiplicity 2)
Te 0.500 0.000 0.396 (multiplicity 2)

Properties
Mass density   6.60 g cm⁻³
Distance to the lowest polymorph of the same formula   8 meV per atom
Uncorrected formation energy   0.065 eV/atom
DOS(E_F)   3.3 states/eV/cell

---

# 26
A plane-wave DFT calculation with PBE-GGA was carried out for a relaxed KBiRuI2 crystal.

abc: 6.221 6.221 6.877
angles: 90.00 90.00 90.00
Space group P4/mmm (No. 123)
Asymmetric unit:
K 0.000 0.000 0.000 (multiplicity 1)
Bi 0.000 0.000 0.500 (multiplicity 1)
Ru 0.500 0.500 0.000 (multiplicity 1)
I 0.000 0.500 0.500 (multiplicity 2)

Properties
Mass density   3.76 g cm⁻³
Uncorrected formation energy   0.913 eV/atom
DOS(E_F)   2.5 states/eV/cell

---

# 27
A plane-wave DFT calculation with PBE-GGA was carried out for a relaxed Pr2TmGe3Rh4 crystal.

abc: 4.202 4.202 11.156
angles: 90.00 90.00 90.00
Space group P-4m2 (No. 115)
Asymmetric unit:
Pr 0.000 0.500 0.232 (multiplicity 2)
Tm 0.000 0.000 0.500 (multiplicity 1)
Ge 0.000 0.500 0.878 (multiplicity 2)
Ge 0.500 0.500 0.500 (multiplicity 1)
Rh 0.000 0.000 0.000 (multiplicity 1)
Rh 0.000 0.500 0.655 (multiplicity 2)
Rh 0.500 0.500 0.000 (multiplicity 1)

Properties
Mass density   9.11 g cm⁻³
E_form   -0.89 eV per atom
DOS(E_F)   7.1 states/eV/cell